This record from Alexandria via LeMat-Bulk describes a crystal of LiTeIr2 relaxed with PBEsol. The functional is SCAN.

Unit cell a=2.8413 b=4.5272 c=5.1672 alpha=90.00 beta=102.02 gamma=90.00
Sites, in units of the cell vectors:
Li1 0.0000 0.0000 0.0000
Te1 0.5000 0.0000 0.5000
Ir1 0.3463 0.5000 0.2145
Ir2 0.6537 0.5000 0.7855

Properties
* E: -45.420 eV per atom
* raw formation energy: 0.04 eV per atom
* SG: P2/m (10)